# Zr2RhI PBE optimized geometry
# volume: 30.9 Å³/atom
# formation energy without anion corrections: 0.24 eV per atom
# distance to the lowest polymorph of the same formula: 332 meV per atom
data_Zr2RhI
_cell_length_a 6.263
_cell_length_b 6.263
_cell_length_c 12.610
_cell_angle_alpha 90.00
_cell_angle_beta 90.00
_cell_angle_gamma 90.00
_space_group_name_H-M_alt 'I -4 2 d'
_space_group_IT_number 122
_space_group_name_Hall 'I -4 2bw'
loop_
_atom_site_label
_atom_site_fract_x
_atom_site_fract_y
_atom_site_fract_z
Zr1 0.189 0.250 0.125
Rh1 0.000 0.000 0.000
I1 0.000 0.000 0.500